Entry 1:
This record from Alexandria describes crystalline Na2TeMoSe at its relaxed geometry. The functional is PBEsol.

Output
Its formation energy from raw total energies is 108 meV per atom. For the total magnetic moment, the calculation gives 0.5513 μB/atom.

Cell lengths 5.173, 5.173, 4.804 Å; angles 90.00, 90.00, 90.00 degrees
Atoms (fractional coordinates):
Na (0.000, 0.500, 0.000)
Na (0.500, 0.000, 0.000)
Te (0.000, 0.000, 0.500)
Mo (0.500, 0.500, 0.500)
Se (0.500, 0.500, 0.000)

Entry 2:
This record from Alexandria describes crystalline YZrAs2 at its relaxed geometry. The functional is PBEsol.

Output
For the total magnetic moment, the calculation gives 0.0035 μB/atom. The calculation puts the excess energy over the best structure of this formula in the dataset at 100 kJ/mol of formula units. For the energy relative to the elements, the calculation gives -1.1205 eV/atom.

Cell lengths 3.597, 3.667, 13.319 Å; angles 90.00, 90.00, 90.00 degrees
Atoms (fractional coordinates):
Y (0.000, 0.000, 0.000)
Y (0.500, 0.500, 0.500)
Zr (0.000, 0.500, 0.751)
Zr (0.500, 0.000, 0.251)
As (0.000, 0.000, 0.402)
As (0.000, 0.500, 0.169)
As (0.500, 0.000, 0.669)
As (0.500, 0.500, 0.902)

Entry 3:
This record from Alexandria describes crystalline Ca2AlMo at its relaxed geometry. The functional is PBEsol.

Output
For the total magnetic moment, the calculation gives 0.2745 μB/atom. For the energy relative to the elements, the calculation gives 0.8614 eV/atom.

Cell lengths 8.040, 8.040, 5.676 Å; angles 90.00, 90.00, 90.00 degrees
Atoms (fractional coordinates):
Ca (0.247, 0.250, 0.125)
Ca (0.250, 0.747, 0.375)
Ca (0.250, 0.753, 0.875)
Ca (0.253, 0.250, 0.625)
Ca (0.747, 0.750, 0.625)
Ca (0.750, 0.247, 0.875)
Ca (0.750, 0.253, 0.375)
Ca (0.753, 0.750, 0.125)
Al (0.000, 0.000, 0.500)
Al (0.000, 0.500, 0.750)
Al (0.500, 0.000, 0.250)
Al (0.500, 0.500, 0.000)
Mo (0.000, 0.000, 0.000)
Mo (0.000, 0.500, 0.250)
Mo (0.500, 0.000, 0.750)
Mo (0.500, 0.500, 0.500)

Entry 4:
This record from Alexandria describes crystalline LaCu2Ni at its relaxed geometry. The functional is PBEsol.

Output
For the total magnetic moment, the calculation gives 0.0001 μB/atom. For the energy relative to the elements, the calculation gives -0.1203 eV/atom.

Cell lengths 7.147, 4.088, 5.310 Å; angles 90.00, 115.66, 90.00 degrees
Atoms (fractional coordinates):
La (0.000, 0.000, 0.000)
La (0.500, 0.500, 0.000)
Cu (0.198, 0.000, 0.594)
Cu (0.302, 0.500, 0.406)
Cu (0.698, 0.500, 0.594)
Cu (0.802, 0.000, 0.406)
Ni (0.000, 0.500, 0.500)
Ni (0.500, 0.000, 0.500)

Entry 5:
This record from Alexandria describes crystalline Tl2HgAu at its relaxed geometry. The functional is PBEsol.

Output
For the total magnetic moment, the calculation gives 0.0000 μB/atom. The calculation puts the excess energy over the best structure of this formula in the dataset at 10 kJ/mol of formula units. For the energy relative to the elements, the calculation gives 0.0340 eV/atom.

Cell lengths 7.276, 7.276, 7.276 Å; angles 90.00, 90.00, 90.00 degrees
Atoms (fractional coordinates):
Tl (0.250, 0.250, 0.250)
Tl (0.250, 0.250, 0.750)
Tl (0.250, 0.750, 0.250)
Tl (0.250, 0.750, 0.750)
Tl (0.750, 0.250, 0.250)
Tl (0.750, 0.250, 0.750)
Tl (0.750, 0.750, 0.250)
Tl (0.750, 0.750, 0.750)
Hg (0.000, 0.000, 0.000)
Hg (0.000, 0.500, 0.500)
Hg (0.500, 0.000, 0.500)
Hg (0.500, 0.500, 0.000)
Au (0.000, 0.000, 0.500)
Au (0.000, 0.500, 0.000)
Au (0.500, 0.000, 0.000)
Au (0.500, 0.500, 0.500)

Entry 6:
This record from Alexandria describes crystalline Zr2CdAu at its relaxed geometry. The functional is PBEsol.

Output
For the total magnetic moment, the calculation gives 0.0001 μB/atom. For the energy relative to the elements, the calculation gives -0.3384 eV/atom.

Cell lengths 4.259, 4.259, 8.589 Å; angles 90.00, 90.00, 90.00 degrees
Atoms (fractional coordinates):
Zr (0.000, 0.500, 0.250)
Zr (0.000, 0.500, 0.750)
Zr (0.500, 0.000, 0.250)
Zr (0.500, 0.000, 0.750)
Cd (0.000, 0.000, 0.000)
Cd (0.500, 0.500, 0.500)
Au (0.000, 0.000, 0.500)
Au (0.500, 0.500, 0.000)